[1]
! ZrNi3Cl GGA-PBE relaxed; values from VASP
&SYSTEM
  ibrav = 0, nat = 5, ntyp = 3
/
ATOMIC_SPECIES
Ni 58.69 Ni.upf
Zr 91.22 Zr.upf
Cl 35.45 Cl.upf
ATOMIC_POSITIONS angstrom
Ni 1.597 -1.038 -1.395
Ni -0.602 -2.107 0.879
Ni -1.632 -0.239 -1.690
Zr 0.000 0.000 0.000
Cl -0.636 -3.384 -2.206
CELL_PARAMETERS angstrom
-3.263 -0.478 -3.380
3.195 -2.076 -2.790
-1.203 -4.215 1.758
! Magnetic moment ... 0.00 μB/f.u.
! Crystal system ... cubic
! DOS(E_F) ... 4.23 states/eV/cell
! E_form (uncorrected) ... 1.26 eV per atom
! Offset from the most stable computed form ... 0.833 eV per atom

[2]
! ZrNi3Cl GGA-PBE relaxed; values from VASP
&SYSTEM
  ibrav = 0, nat = 5, ntyp = 3
/
ATOMIC_SPECIES
Ni 58.69 Ni.upf
Zr 91.22 Zr.upf
Cl 35.45 Cl.upf
ATOMIC_POSITIONS angstrom
Ni 0.000 2.114 0.000
Ni 0.000 0.000 2.114
Ni 2.114 0.000 0.000
Zr 2.114 2.114 2.114
Cl 0.000 0.000 0.000
CELL_PARAMETERS angstrom
4.228 0.000 0.000
0.000 4.228 0.000
0.000 0.000 4.228
! Magnetic moment ... 0.00 μB/f.u.
! Crystal system ... cubic
! DOS(E_F) ... 5.00 states/eV/cell
! E_form (uncorrected) ... 0.43 eV per atom
! Offset from the most stable computed form ... 0.000 eV per atom